[1]
{"formula": "PuCuBr6", "functional": "GGA-PBE", "state": "optimized geometry", "magnetic_moment_mub_per_fu": 3.0, "e_tot_ev_per_atom": -4.40, "e_form_raw_ev_per_atom": -0.842, "lattice_angstrom": [[6.821, 0.009, 0.010], [3.404, 5.910, 0.012], [3.401, 1.963, 6.174]], "species": ["Br", "Br", "Br", "Br", "Br", "Br", "Cu", "Pu"], "fractional_positions": [[0.612, 0.245, 0.243], [0.245, 0.900, 0.243], [0.100, 0.388, 0.757], [0.755, 0.100, 0.757], [0.388, 0.755, 0.757], [0.900, 0.612, 0.243], [0.000, 0.000, 0.000], [0.500, 0.500, 0.500]]}



[2]
{"formula": "CuAg2PO", "functional": "GGA-PBE", "state": "optimized geometry", "magnetic_moment_mub_per_fu": 0.0, "e_tot_ev_per_atom": -3.80, "e_form_raw_ev_per_atom": 0.234, "lattice_angstrom": [[4.720, 0.000, 0.000], [0.000, 3.608, 0.000], [0.000, 0.000, 4.720]], "species": ["O", "Ag", "Ag", "P", "Cu"], "fractional_positions": [[0.000, 0.000, 0.000], [0.000, 0.000, 0.500], [0.500, 0.000, 0.000], [0.500, 0.500, 0.500], [0.000, 0.500, 0.000]]}



[3]
{"formula": "KMgOs", "functional": "GGA-PBE", "state": "optimized geometry", "magnetic_moment_mub_per_fu": 0.5, "e_tot_ev_per_atom": -3.78, "delta_e_f_ev_per_atom": 0.862, "lattice_angstrom": [[-6.468, 3.234, -4.141], [-4.498, 1.082, -6.931], [4.374, -3.778, 6.004]], "species": ["K", "Mg", "Os"], "fractional_positions": [[0.016, 0.016, 0.000], [0.302, 0.302, 0.000], [0.683, 0.683, 0.000]]}



[4]
{"formula": "Ni4SbPt", "functional": "GGA-PBE", "state": "optimized geometry", "magnetic_moment_mub_per_fu": 0.0, "e_tot_ev_per_atom": -5.56, "e_form_raw_ev_per_atom": -0.015, "lattice_angstrom": [[0.584, -5.195, -0.969], [3.961, -1.362, -2.487], [3.621, -0.745, 6.175]], "species": ["Sb", "Sb", "Ni", "Ni", "Ni", "Ni", "Ni", "Ni", "Ni", "Ni", "Pt", "Pt"], "fractional_positions": [[0.000, 0.750, 0.250], [0.000, 0.250, 0.750], [0.742, 0.511, 0.434], [0.258, 0.989, 0.434], [0.742, 0.011, 0.566], [0.258, 0.989, 0.066], [0.742, 0.011, 0.934], [0.258, 0.489, 0.566], [0.742, 0.511, 0.066], [0.258, 0.489, 0.934], [0.500, 0.750, 0.750], [0.500, 0.250, 0.250]]}